(one)
First-principles (PBE) data for crystalline PmP2Ru at its relaxed geometry, as listed in the Alexandria database.

The structure in POSCAR format:
```
PmP2Ru
1.0
4.6086 0.0000 0.0000
0.0000 4.6086 0.0000
0.0000 0.0000 3.2869
Pm P Ru
1 2 1
Cartesian
0.0000 0.0000 0.0000 Pm
0.0000 2.3043 1.6434 P
2.3043 0.0000 1.6434 P
2.3043 2.3043 0.0000 Ru
```

* V: 69.8 Å³ per cell
* N(E_F): 3.7 states/eV/cell

(two)
First-principles (PBE) data for crystalline PmP2Ru at its relaxed geometry, as listed in the Alexandria database.

The structure in POSCAR format:
```
PmP2Ru
1.0
0.0000 3.2611 3.2611
3.2611 0.0000 3.2611
3.2611 3.2611 0.0000
Pm P Ru
1 2 1
Cartesian
0.0000 0.0000 0.0000 Pm
1.6305 1.6305 1.6305 P
4.8916 4.8916 4.8916 P
3.2611 3.2611 3.2611 Ru
```

* V: 69.4 Å³ per cell
* N(E_F): 3.7 states/eV/cell

(three)
First-principles (PBE) data for crystalline PmP2Ru at its relaxed geometry, as listed in the Alexandria database.

The structure in POSCAR format:
```
PmP2Ru
1.0
-1.9928 1.9928 4.8274
1.9928 -1.9928 4.8274
1.9928 1.9928 -4.8274
Pm P Ru
1 2 1
Cartesian
0.0000 0.0000 0.0000 Pm
0.0000 0.0000 3.5919 P
0.0000 0.0000 6.0630 P
0.0000 1.9928 2.4137 Ru
```

* V: 76.7 Å³ per cell
* N(E_F): 3.6 states/eV/cell

(four)
First-principles (PBE) data for crystalline PmP2Ru at its relaxed geometry, as listed in the Alexandria database.

The structure in POSCAR format:
```
PmP2Ru
1.0
2.0208 1.1667 4.9897
-2.0208 1.1667 4.9897
0.0000 -2.3334 4.9897
Pm P Ru
1 2 1
Cartesian
0.0000 0.0000 0.0000 Pm
0.0000 0.0000 3.2397 P
0.0000 0.0000 11.7293 P
0.0000 0.0000 7.4845 Ru
```

* V: 70.6 Å³ per cell
* N(E_F): 2.8 states/eV/cell

Stability summary - winner: (four); margin: 0.085 eV/atom.